First-principles (PBE-GGA) data for an optimized crystal structure of TbHoGaCo, as listed in Alexandria. Values from VASP.

Summary:
Calculated density ... 8.66 g cm⁻³
Energy relative to the elements ... -0.39 eV per atom
Polymorph energy (0 for the lowest one) ... 0.0 meV per atom
VASP energy ... -0.3837 Ry/atom

Quantum ESPRESSO input file:
```
&SYSTEM
  ibrav = 0, nat = 8, ntyp = 4
/
ATOMIC_SPECIES
Tb 158.93 Tb.upf
Ho 164.93 Ho.upf
Ga 69.72 Ga.upf
Co 58.93 Co.upf
CELL_PARAMETERS angstrom
4.248 0.000 0.000
0.000 3.875 0.000
0.000 0.000 10.549
ATOMIC_POSITIONS crystal
Tb 0.000 0.000 0.000
Tb 0.000 0.500 0.500
Ho 0.500 0.000 0.717
Ho 0.500 0.500 0.217
Ga 0.500 0.000 0.423
Ga 0.500 0.500 0.923
Co 0.000 0.000 0.295
Co 0.000 0.500 0.795
```



First-principles (PBE-GGA) data for an optimized crystal structure of ScAsBr2O, as listed in Alexandria. Values from VASP.

Summary:
ΔE_f (raw) ... -0.044 eV per atom
Calculated density ... 4.97 g cm⁻³
Polymorph energy (0 for the lowest one) ... 0.0 meV per atom
VASP energy ... -0.2867 Ry/atom

Quantum ESPRESSO input file:
```
&SYSTEM
  ibrav = 0, nat = 5, ntyp = 4
/
ATOMIC_SPECIES
Sc 44.96 Sc.upf
As 74.92 As.upf
Br 79.90 Br.upf
O 16.00 O.upf
CELL_PARAMETERS angstrom
4.668 0.000 0.000
0.000 4.668 0.000
0.000 0.000 4.535
ATOMIC_POSITIONS crystal
Sc 0.000 0.000 0.000
As 0.500 0.500 0.000
Br 0.000 0.500 0.500
Br 0.500 0.000 0.500
O 0.500 0.500 0.500
```



First-principles (PBE-GGA) data for an optimized crystal structure of BeFe2Pt, as listed in Alexandria. Values from VASP.

Summary:
Calculated density ... 11.04 g cm⁻³
Energy relative to the elements ... -0.23 eV per atom
VASP energy ... -0.5075 Ry/atom

Quantum ESPRESSO input file:
```
&SYSTEM
  ibrav = 0, nat = 8, ntyp = 3
/
ATOMIC_SPECIES
Be 9.01 Be.upf
Fe 55.84 Fe.upf
Pt 195.08 Pt.upf
CELL_PARAMETERS angstrom
4.067 0.000 0.000
0.000 4.067 0.000
0.000 0.000 5.742
ATOMIC_POSITIONS crystal
Be 0.000 0.000 0.000
Be 0.500 0.500 0.500
Fe 0.000 0.000 0.500
Fe 0.000 0.500 0.750
Fe 0.500 0.000 0.250
Fe 0.500 0.500 0.000
Pt 0.000 0.500 0.250
Pt 0.500 0.000 0.750
```



First-principles (PBE-GGA) data for an optimized crystal structure of SmTmMgBi, as listed in Alexandria. Values from VASP.

Summary:
Calculated density ... 8.05 g cm⁻³
Energy relative to the elements ... -0.29 eV per atom
VASP energy ... -0.2909 Ry/atom

Quantum ESPRESSO input file:
```
&SYSTEM
  ibrav = 0, nat = 16, ntyp = 4
/
ATOMIC_SPECIES
Sm 150.36 Sm.upf
Tm 168.93 Tm.upf
Mg 24.30 Mg.upf
Bi 208.98 Bi.upf
CELL_PARAMETERS angstrom
7.697 0.000 0.000
0.000 7.697 0.000
0.000 0.000 7.697
ATOMIC_POSITIONS crystal
Sm 0.000 0.000 0.000
Sm 0.000 0.500 0.500
Sm 0.500 0.000 0.500
Sm 0.500 0.500 0.000
Tm 0.000 0.000 0.500
Tm 0.000 0.500 0.000
Tm 0.500 0.000 0.000
Tm 0.500 0.500 0.500
Mg 0.250 0.250 0.250
Mg 0.250 0.750 0.750
Mg 0.750 0.250 0.750
Mg 0.750 0.750 0.250
Bi 0.250 0.250 0.750
Bi 0.250 0.750 0.250
Bi 0.750 0.250 0.250
Bi 0.750 0.750 0.750
```



First-principles (PBE-GGA) data for an optimized crystal structure of Tc2AgSb, as listed in Alexandria. Values from VASP.

Summary:
ΔE_f (raw) ... 0.525 eV per atom
Calculated density ... 10.43 g cm⁻³
VASP energy ... -0.4705 Ry/atom

Quantum ESPRESSO input file:
```
&SYSTEM
  ibrav = 0, nat = 16, ntyp = 3
/
ATOMIC_SPECIES
Tc 98.00 Tc.upf
Ag 107.87 Ag.upf
Sb 121.76 Sb.upf
CELL_PARAMETERS angstrom
6.472 0.000 0.000
0.000 6.472 0.000
0.000 0.000 6.472
ATOMIC_POSITIONS crystal
Tc 0.000 0.000 0.000
Tc 0.000 0.500 0.500
Tc 0.250 0.250 0.250
Tc 0.250 0.750 0.750
Tc 0.500 0.000 0.500
Tc 0.500 0.500 0.000
Tc 0.750 0.250 0.750
Tc 0.750 0.750 0.250
Ag 0.000 0.000 0.500
Ag 0.000 0.500 0.000
Ag 0.500 0.000 0.000
Ag 0.500 0.500 0.500
Sb 0.250 0.250 0.750
Sb 0.250 0.750 0.250
Sb 0.750 0.250 0.250
Sb 0.750 0.750 0.750
```



First-principles (PBE-GGA) data for an optimized crystal structure of La6RuPt2O, as listed in Alexandria. Values from VASP.

Summary:
ΔE_f (raw) ... -1.113 eV per atom
Calculated density ... 8.26 g cm⁻³
VASP energy ... -0.4925 Ry/atom

Quantum ESPRESSO input file:
```
&SYSTEM
  ibrav = 0, nat = 20, ntyp = 4
/
ATOMIC_SPECIES
La 138.91 La.upf
Ru 101.07 Ru.upf
Pt 195.08 Pt.upf
O 16.00 O.upf
CELL_PARAMETERS angstrom
6.828 0.000 0.000
0.000 7.565 0.000
-6.504 0.000 10.436
ATOMIC_POSITIONS crystal
La 0.103 0.191 0.437
La 0.103 0.309 0.937
La 0.246 0.675 0.433
La 0.246 0.825 0.933
La 0.382 0.041 0.244
La 0.382 0.459 0.744
La 0.618 0.541 0.256
La 0.618 0.959 0.756
La 0.754 0.175 0.067
La 0.754 0.325 0.567
La 0.897 0.691 0.063
La 0.897 0.809 0.563
Ru 0.500 0.000 0.500
Ru 0.500 0.500 0.000
Pt 0.185 0.106 0.738
Pt 0.185 0.394 0.238
Pt 0.815 0.606 0.762
Pt 0.815 0.894 0.262
O 0.000 0.000 0.000
O 0.000 0.500 0.500
```



First-principles (PBE-GGA) data for an optimized crystal structure of BaTaZnGe2, as listed in Alexandria. Values from VASP.

Summary:
Calculated density ... 6.82 g cm⁻³
Energy relative to the elements ... 0.75 eV per atom
VASP energy ... -0.3020 Ry/atom

Quantum ESPRESSO input file:
```
&SYSTEM
  ibrav = 0, nat = 5, ntyp = 4
/
ATOMIC_SPECIES
Ba 137.33 Ba.upf
Ta 180.95 Ta.upf
Zn 65.41 Zn.upf
Ge 72.64 Ge.upf
CELL_PARAMETERS angstrom
5.023 0.000 0.000
0.000 5.023 0.000
0.000 0.000 5.105
ATOMIC_POSITIONS crystal
Ba 0.000 0.000 0.000
Ta 0.500 0.500 0.000
Zn 0.500 0.500 0.500
Ge 0.000 0.500 0.500
Ge 0.500 0.000 0.500
```



First-principles (PBE-GGA) data for an optimized crystal structure of NdAlTl, as listed in Alexandria. Values from VASP.

Summary:
Calculated density ... 7.22 g cm⁻³
Energy relative to the elements ... -0.12 eV per atom
VASP energy ... -0.2750 Ry/atom

Quantum ESPRESSO input file:
```
&SYSTEM
  ibrav = 0, nat = 6, ntyp = 3
/
ATOMIC_SPECIES
Nd 144.24 Nd.upf
Al 26.98 Al.upf
Tl 204.38 Tl.upf
CELL_PARAMETERS angstrom
4.532 0.000 0.000
-2.266 3.925 0.000
0.000 0.000 9.712
ATOMIC_POSITIONS crystal
Nd 0.333 0.667 0.000
Nd 0.667 0.333 0.500
Al 0.333 0.667 0.329
Al 0.667 0.333 0.829
Tl 0.000 0.000 0.226
Tl 0.000 0.000 0.726
```